Ge3MoOs | Alexandria | PBE | relaxed; formation enthalpy at 0 K = 1.0559 eV per atom; distance to the lowest polymorph of the same formula = 0.0 kJ/mol of atoms; total moment = 0.813 μB per atom
1.0
4.7886 0.0000 0.0000
0.0000 4.7886 0.0000
0.0000 0.0000 4.7886
Ge Os Mo
3 1 1
Direct
0.0000 0.5000 0.0000
0.5000 0.0000 0.0000
0.0000 0.0000 0.5000
0.0000 0.0000 0.0000
0.5000 0.5000 0.5000

GeMo2Os | Alexandria | PBE | relaxed; formation enthalpy at 0 K = 0.6616 eV per atom; total moment = 0.000 μB per atom
1.0
-1.4585 -6.3506 -2.6605
6.6615 -1.9893 1.0967
1.9323 -5.0502 1.6860
Mo Ge Os
4 2 2
Direct
0.6343 0.1250 0.2500
0.1157 0.6250 0.2500
0.8750 0.8843 0.7500
0.3750 0.3657 0.7500
0.5000 0.5000 0.0000
0.2500 0.7500 0.5000
0.7500 0.2500 0.5000
0.0000 0.0000 0.0000

GeMoOs2 | Alexandria | PBE | relaxed; formation enthalpy at 0 K = 1.0655 eV per atom; total moment = 0.000 μB per atom
1.0
-4.8853 2.7290 -0.5351
-2.6684 -4.9046 -0.6516
-4.5518 -1.3968 4.9059
Os Mo Ge
4 2 2
Direct
0.3750 0.3777 0.7500
0.1277 0.6250 0.2500
0.6223 0.1250 0.2500
0.8750 0.8723 0.7500
0.0000 0.0000 0.0000
0.7500 0.2500 0.5000
0.2500 0.7500 0.5000
0.5000 0.5000 0.0000

PaGeMoOs | Alexandria | PBE | relaxed; formation enthalpy at 0 K = -0.0035 eV per atom; total moment = 0.000 μB per atom
1.0
4.6554 0.0000 0.0000
2.3277 4.0317 0.0000
2.3277 1.3439 3.8011
Ge Os Pa Mo
1 1 1 1
Direct
0.5000 0.5000 0.5000
0.2500 0.2500 0.2500
0.0000 0.0000 0.0000
0.7500 0.7500 0.7500

GeMoOs2Pb | Alexandria | PBE | relaxed; formation enthalpy at 0 K = 2.8693 eV per atom; total moment = 0.737 μB per atom
1.0
-3.6868 -0.3746 -3.3266
1.3750 -4.8338 -0.9796
-3.0689 -1.5987 3.5812
Pb Mo Os Ge
1 1 2 1
Direct
0.0000 0.0000 0.0000
0.0000 0.5000 0.0000
0.0000 0.0000 0.5000
0.5000 0.0000 0.0000
0.5000 0.5000 0.5000

GeSb2MoOs | Alexandria | PBE | relaxed; ΔE_f (raw) = 1.40 eV per atom; total moment = 0.501 μB per atom
1.0
-3.1621 -2.0314 -3.5519
3.7861 -1.2589 -2.6505
0.1906 -4.5572 2.4367
Mo Sb Os Ge
1 2 1 1
Direct
0.0000 0.0000 0.0000
0.5000 0.0000 0.0000
0.0000 0.0000 0.5000
0.5000 0.5000 0.5000
0.0000 0.5000 0.0000

VGeMoOs | Alexandria | PBE | relaxed; formation enthalpy at 0 K = -0.1032 eV per atom; total moment = 0.000 μB per atom
1.0
4.3266 0.0000 0.0000
2.1633 3.7469 0.0000
2.1633 1.2490 3.5326
Os Mo Ge V
1 1 1 1
Direct
0.7500 0.7500 0.7500
0.2500 0.2500 0.2500
0.5000 0.5000 0.5000
0.0000 0.0000 0.0000

GeMoP2 | Alexandria | PBE | relaxed; formation enthalpy at 0 K = 0.1643 eV per atom; total moment = 0.000 μB per atom
1.0
5.4871 0.0000 0.0000
0.0000 5.4871 0.0000
2.7435 2.7435 5.5981
Ge Mo P
2 2 4
Direct
0.2500 0.7500 0.5000
0.5000 0.5000 0.0000
0.7500 0.2500 0.5000
0.0000 0.0000 0.0000
0.8750 0.8917 0.7500
0.3750 0.3583 0.7500
0.1083 0.6250 0.2500
0.6417 0.1250 0.2500

Ge2MoP | Alexandria | PBE | relaxed; formation enthalpy at 0 K = 0.6389 eV per atom; total moment = 0.427 μB per atom
1.0
5.8855 0.0000 0.0000
0.0000 5.8855 0.0000
2.9428 2.9428 5.2272
Mo Ge P
2 4 2
Direct
0.7500 0.2500 0.5000
0.0000 0.0000 0.0000
0.3750 0.3914 0.7500
0.1414 0.6250 0.2500
0.6086 0.1250 0.2500
0.8750 0.8586 0.7500
0.2500 0.7500 0.5000
0.5000 0.5000 0.0000

GeMoP | Alexandria | PBE | relaxed; formation enthalpy at 0 K = 0.2251 eV per atom; total moment = 0.000 μB per atom
1.0
5.3198 0.3103 0.5005
-1.9961 4.5914 -0.1427
1.3275 2.7321 4.4068
Ge Mo P
2 2 2
Direct
0.2867 0.0000 0.2215
0.7785 0.0000 0.7133
0.2753 0.0000 0.7247
0.7897 0.0000 0.2103
0.2810 0.4969 0.7190
0.7841 0.5031 0.2159

Ge2Mo2P | Alexandria | PBE | relaxed; formation enthalpy at 0 K = 0.0083 eV per atom; total moment = 0.000 μB per atom
1.0
-5.1432 -1.4299 4.0463
1.3407 -6.5350 -0.6052
2.1557 0.1825 2.8045
Mo P Ge
4 2 4
Direct
0.6616 0.1616 0.0000
0.3384 0.8384 0.0000
0.8384 0.6616 0.0000
0.1616 0.3384 0.0000
0.0000 0.0000 0.0000
0.5000 0.5000 0.0000
0.3604 0.1396 0.5000
0.8604 0.3604 0.5000
0.6396 0.8604 0.5000
0.1396 0.6396 0.5000

GeMoP3 | Alexandria | PBE | relaxed; formation enthalpy at 0 K = 1.3036 eV per atom; distance to the lowest polymorph of the same formula = 65.9 kJ/mol of atoms; total moment = 0.556 μB per atom
1.0
-4.5667 -0.1979 -0.5513
-0.3117 -2.8480 3.6040
-0.4959 3.6121 2.8115
P Mo Ge
3 1 1
Direct
0.5000 0.0000 0.0000
0.0000 0.0000 0.5000
0.0000 0.5000 0.0000
0.5000 0.5000 0.5000
0.0000 0.0000 0.0000